Record 1
15
Lattice="8.137 -0.114 -0.164 -3.970 7.096 0.129 -3.970 -2.342 6.699" Properties=species:S:1:pos:R:3 comment="Pm3Pr4S8 | Alexandria via LeMat-Bulk | PBE-GGA | relaxed" spacegroup="No. 12" dft_energy_ev_per_cell=-96.9 raw_formation_energy_ev_per_atom=-2.0345 pbc="T T T"
Pm 2.084 3.491 -0.018
Pm 2.084 -1.228 3.267
Pm 0.099 2.320 3.332
Pr 4.069 -0.057 -0.082
Pr -1.985 3.548 0.065
Pr 0.000 0.000 0.000
Pr -1.985 -1.171 3.350
S 2.081 1.148 1.649
S -3.970 4.723 1.781
S -1.977 1.204 1.729
S 0.099 4.660 1.703
S 0.099 -0.020 4.961
S 2.175 3.435 4.935
S -3.970 0.031 5.048
S -1.883 3.491 5.015

=====

Record 2
14
Lattice="5.365 0.000 -0.100 0.000 5.387 0.000 -2.234 0.000 7.345" Properties=species:S:1:pos:R:3 comment="RbCeBO4 | Alexandria via LeMat-Bulk | PBE-GGA | relaxed" spacegroup="No. 11" dft_energy_ev_per_cell=-104.3 raw_formation_energy_ev_per_atom=-2.6795 pbc="T T T"
Rb 1.800 4.040 6.796
Rb 1.331 1.347 0.448
Ce 3.033 4.040 3.248
Ce 0.097 1.347 3.997
B 0.386 4.040 2.488
B 2.745 1.347 4.757
O 3.636 2.537 4.906
O -0.505 5.230 2.338
O -0.505 2.850 2.338
O 3.636 0.157 4.906
O 1.558 4.040 1.592
O 1.573 1.347 5.653
O 0.900 4.040 3.927
O 2.231 1.347 3.317

=====

Record 3
20
Lattice="-2.896 -3.746 -4.537 -4.125 -3.205 5.279 -4.822 8.429 1.349" Properties=species:S:1:pos:R:3 comment="K2InO2 | Alexandria via LeMat-Bulk | PBE-GGA | relaxed" spacegroup="No. 14" dft_energy_ev_per_cell=-82.9 raw_formation_energy_ev_per_atom=-1.1767 pbc="T T T"
K -2.523 -2.551 -0.892
K -3.959 -4.414 -3.177
K -7.885 5.892 5.267
K -9.321 4.029 2.982
K -6.691 -2.311 -0.119
K -6.288 -1.250 3.486
K -5.556 2.729 -1.396
K -5.153 3.790 2.209
In -4.451 0.150 0.834
In -7.393 1.328 1.256
In -4.628 -0.735 -3.061
In -7.216 2.214 5.151
O -7.145 -5.027 1.407
O -3.954 -1.800 1.446
O -7.890 3.279 0.644
O -4.699 6.505 0.683
O -6.269 0.366 -0.310
O -3.435 3.316 0.185
O -8.409 -1.837 1.904
O -5.575 1.112 2.400